(1)
Material: V2BiRuPt
Method: DFT, PBE
State: relaxed

Cell lengths 4.718, 4.718, 4.928 Å; angles 90.00, 90.00, 90.00 degrees
Sites, in units of the cell vectors:
V  0.000  0.500  0.000
V  0.500  0.000  0.000
Bi  0.000  0.000  0.500
Ru  0.500  0.500  0.500
Pt  0.500  0.500  0.000

Symmetry ... P4/mmm
Crystal system ... tetragonal
E_form ... 0.983 eV per atom



(2)
Material: BiPt3S
Method: DFT, PBE
State: relaxed

Cell lengths 4.628, 4.628, 4.628 Å; angles 90.00, 90.00, 90.00 degrees
Sites, in units of the cell vectors:
Bi  0.000  0.000  0.000
Pt  0.000  0.500  0.500
Pt  0.500  0.000  0.500
Pt  0.500  0.500  0.000
S  0.500  0.500  0.500

Symmetry ... Pm-3m
Energy relative to the lowest polymorph listed for this composition ... 0.0 meV per atom
Crystal system ... cubic



(3)
Material: BiPtS2
Method: DFT, PBE
State: relaxed

Cell lengths 8.447, 8.447, 8.447 Å; angles 24.83, 24.83, 24.83 degrees
Sites, in units of the cell vectors:
Bi  0.000  0.000  0.000
Pt  0.500  0.500  0.500
S  0.116  0.116  0.116
S  0.884  0.884  0.884

Energy ... -4.73 eV per atom
Symmetry ... R-3m
Crystal system ... trigonal



(4)
Material: Bi2Pt2S
Method: DFT, PBE
State: relaxed

Cell lengths 8.148, 8.148, 8.148 Å; angles 152.53, 152.53, 39.24 degrees
Sites, in units of the cell vectors:
Bi  0.113  0.113  0.000
Bi  0.887  0.887  0.000
Pt  0.250  0.750  0.500
Pt  0.750  0.250  0.500
S  0.500  0.500  0.000

Symmetry ... I4/mmm
Energy relative to the lowest polymorph listed for this composition ... 0.0 meV per atom
Crystal system ... tetragonal



(5)
Material: Bi3PtS
Method: DFT, PBE
State: relaxed

Cell lengths 5.422, 5.422, 5.422 Å; angles 90.00, 90.00, 90.00 degrees
Sites, in units of the cell vectors:
Bi  0.000  0.000  0.500
Bi  0.000  0.500  0.000
Bi  0.500  0.000  0.000
Pt  0.000  0.000  0.000
S  0.500  0.500  0.500

Energy ... -3.84 eV per atom
Symmetry ... Pm-3m
Crystal system ... cubic



(6)
Material: Bi2Pt2S
Method: DFT, PBE
State: relaxed

Cell lengths 7.887, 7.887, 3.650 Å; angles 90.00, 90.00, 90.00 degrees
Sites, in units of the cell vectors:
Bi  0.185  0.315  0.000
Bi  0.315  0.815  0.000
Bi  0.685  0.185  0.000
Bi  0.815  0.685  0.000
Pt  0.120  0.620  0.500
Pt  0.380  0.120  0.500
Pt  0.620  0.880  0.500
Pt  0.880  0.380  0.500
S  0.000  0.000  0.000
S  0.500  0.500  0.000

Symmetry ... P4/mbm
Energy relative to the lowest polymorph listed for this composition ... 223.8 meV per atom
Crystal system ... tetragonal



(7)
Material: BiPtS
Method: DFT, PBE
State: relaxed

Cell lengths 3.924, 3.924, 4.977 Å; angles 90.00, 90.00, 120.00 degrees
Sites, in units of the cell vectors:
Bi  0.000  0.000  0.000
Pt  0.667  0.333  0.680
S  0.333  0.667  0.472

Energy ... -4.92 eV per atom
Symmetry ... P3m1
Crystal system ... trigonal



(8)
Material: BiPt2S
Method: DFT, PBE
State: relaxed

Cell lengths 7.962, 7.962, 7.962 Å; angles 143.08, 143.08, 53.20 degrees
Sites, in units of the cell vectors:
Bi  0.000  0.000  0.000
Bi  0.750  0.250  0.500
Pt  0.245  0.625  0.120
Pt  0.375  0.495  0.620
Pt  0.505  0.125  0.880
Pt  0.875  0.755  0.380
S  0.250  0.750  0.500
S  0.500  0.500  0.000

Energy ... -5.23 eV per atom
Symmetry ... I-42d
Crystal system ... tetragonal



| no. | calculated density (g/cm3) |
| --- | --- |
| 1 | 9.19 |
| 2 | 13.84 |
| 3 | 8.32 |
| 4 | 12.15 |
| 5 | 8.90 |
| 6 | 12.29 |
| 7 | 10.91 |
| 8 | 11.58 |